Computed, not measured: a geometry-optimized Sr2MnTc structure at the GGA-PBE level of DFT.

The structure belongs to space group I4/mmm (No. 139); the cell edges are 5.0142, 5.0142 and 8.5606 Å and the angles 90.00°, 90.00° and 90.00°. The asymmetric unit holds Sr at (0.0000, 0.5000, 0.2500), Mn at (0.0000, 0.0000, 0.0000) and Tc at (0.0000, 0.0000, 0.5000).

Its energy relative to the lowest polymorph listed for this composition is 451 meV per atom. For the calculated density, the calculation gives 5.1 Mg/m³. Its formation energy is 0.949 eV per atom.